## one
A geometry-optimized CsNaBe3 structure. Source: the Alexandria database, functional PBE-GGA.

Values from the calculation:
Crystal system: cubic
Size of the total moment: 0.00 μB per formula unit

CIF file:
```
data_CsNaBe3
_cell_length_a 6.115
_cell_length_b 6.115
_cell_length_c 6.115
_cell_angle_alpha 90.00
_cell_angle_beta 90.00
_cell_angle_gamma 90.00
_symmetry_space_group_name_H-M 'P m -3 m'
_symmetry_Int_Tables_number 221
_symmetry_space_group_name_Hall '-P 4 2 3'
loop_
_atom_site_label
_atom_site_type_symbol
_atom_site_fract_x
_atom_site_fract_y
_atom_site_fract_z
Cs1 Cs 0.000 0.000 0.000
Na1 Na 0.500 0.500 0.500
Be1 Be 0.000 0.000 0.500
```

***

## two
A geometry-optimized CsNaBe3 structure. Source: the Alexandria database, functional PBE-GGA.

Values from the calculation:
Crystal system: cubic
Size of the total moment: 0.00 μB per formula unit

CIF file:
```
data_CsNaBe3
_cell_length_a 5.401
_cell_length_b 5.401
_cell_length_c 5.401
_cell_angle_alpha 90.00
_cell_angle_beta 90.00
_cell_angle_gamma 90.00
_symmetry_space_group_name_H-M 'P m -3 m'
_symmetry_Int_Tables_number 221
_symmetry_space_group_name_Hall '-P 4 2 3'
loop_
_atom_site_label
_atom_site_type_symbol
_atom_site_fract_x
_atom_site_fract_y
_atom_site_fract_z
Cs1 Cs 0.000 0.000 0.000
Na1 Na 0.500 0.500 0.500
Be1 Be 0.000 0.500 0.500
```

***

Best to worst by energy: two, one.

***

## one
A geometry-optimized CsBeNb structure. Source: the Alexandria database, functional PBE-GGA.

Values from the calculation:
Crystal system: orthorhombic
Size of the total moment: 0.00 μB per formula unit

CIF file:
```
data_CsBeNb
_cell_length_a 4.349
_cell_length_b 23.329
_cell_length_c 4.077
_cell_angle_alpha 90.00
_cell_angle_beta 90.00
_cell_angle_gamma 90.00
_symmetry_space_group_name_H-M 'C m c m'
_symmetry_Int_Tables_number 63
_symmetry_space_group_name_Hall '-C 2c 2'
loop_
_atom_site_label
_atom_site_type_symbol
_atom_site_fract_x
_atom_site_fract_y
_atom_site_fract_z
Cs1 Cs 0.000 0.147 0.250
Be1 Be 0.000 0.000 0.000
Nb1 Nb 0.000 0.464 0.250
```

***

## two
A geometry-optimized CsBeNb structure. Source: the Alexandria database, functional PBE-GGA.

Values from the calculation:
Crystal system: triclinic
Size of the total moment: 0.00 μB per formula unit

CIF file:
```
data_CsBeNb
_cell_length_a 3.495
_cell_length_b 3.890
_cell_length_c 13.296
_cell_angle_alpha 98.16
_cell_angle_beta 96.73
_cell_angle_gamma 90.00
_symmetry_space_group_name_H-M 'P 1'
_symmetry_Int_Tables_number 1
_symmetry_space_group_name_Hall 'P 1'
loop_
_atom_site_label
_atom_site_type_symbol
_atom_site_fract_x
_atom_site_fract_y
_atom_site_fract_z
Cs1 Cs 0.000 0.000 0.000
Cs2 Cs 0.224 0.698 0.380
Be1 Be 0.390 0.869 0.741
Be2 Be 0.844 0.820 0.640
Nb1 Nb 0.333 0.308 0.613
Nb2 Nb 0.901 0.382 0.767
```

***

## three
A geometry-optimized CsBeNb structure. Source: the Alexandria database, functional PBE-GGA.

Values from the calculation:
Crystal system: triclinic
Size of the total moment: 0.00 μB per formula unit

CIF file:
```
data_CsBeNb
_cell_length_a 3.590
_cell_length_b 3.767
_cell_length_c 13.271
_cell_angle_alpha 97.31
_cell_angle_beta 97.35
_cell_angle_gamma 90.02
_symmetry_space_group_name_H-M 'P 1'
_symmetry_Int_Tables_number 1
_symmetry_space_group_name_Hall 'P 1'
loop_
_atom_site_label
_atom_site_type_symbol
_atom_site_fract_x
_atom_site_fract_y
_atom_site_fract_z
Cs1 Cs 0.000 0.000 0.000
Cs2 Cs 0.204 0.307 0.631
Be1 Be 0.379 0.683 0.372
Be2 Be 0.824 0.632 0.259
Nb1 Nb 0.318 0.124 0.241
Nb2 Nb 0.885 0.191 0.391
```

***

## four
A geometry-optimized CsBeNb structure. Source: the Alexandria database, functional PBE-GGA.

Values from the calculation:
Crystal system: hexagonal
Size of the total moment: 5.26 μB per formula unit

CIF file:
```
data_CsBeNb
_cell_length_a 6.1888
_cell_length_b 6.1888
_cell_length_c 10.0175
_cell_angle_alpha 90.00
_cell_angle_beta 90.00
_cell_angle_gamma 120.00
_symmetry_space_group_name_H-M 'P 63/m m c'
_symmetry_Int_Tables_number 194
_symmetry_space_group_name_Hall '-P 6c 2c'
loop_
_atom_site_label
_atom_site_type_symbol
_atom_site_fract_x
_atom_site_fract_y
_atom_site_fract_z
Cs1 Cs 0.3333 0.6667 0.2500
Be1 Be 0.0000 0.0000 0.2500
Nb1 Nb 0.0000 0.0000 0.0000
```

***

Best to worst by energy: two, three, one, four.

***

## one
A geometry-optimized CsBeNb structure. Source: the Alexandria database, functional PBE-GGA.

Values from the calculation:
Crystal system: orthorhombic
Size of the total moment: 0.00 μB per formula unit

CIF file:
```
data_CsBeNb
_cell_length_a 8.893
_cell_length_b 3.646
_cell_length_c 12.047
_cell_angle_alpha 90.00
_cell_angle_beta 90.00
_cell_angle_gamma 90.00
_symmetry_space_group_name_H-M 'P n m a'
_symmetry_Int_Tables_number 62
_symmetry_space_group_name_Hall '-P 2ac 2n'
loop_
_atom_site_label
_atom_site_type_symbol
_atom_site_fract_x
_atom_site_fract_y
_atom_site_fract_z
Cs1 Cs 0.042 0.250 0.173
Be1 Be 0.183 0.750 0.418
Nb1 Nb 0.088 0.250 0.541
```

***

## two
A geometry-optimized CsBeNb structure. Source: the Alexandria database, functional PBE-GGA.

Values from the calculation:
Crystal system: triclinic
Size of the total moment: 0.13 μB per formula unit

CIF file:
```
data_CsBeNb
_cell_length_a 3.585
_cell_length_b 4.653
_cell_length_c 12.815
_cell_angle_alpha 97.74
_cell_angle_beta 90.38
_cell_angle_gamma 112.64
_symmetry_space_group_name_H-M 'P 1'
_symmetry_Int_Tables_number 1
_symmetry_space_group_name_Hall 'P 1'
loop_
_atom_site_label
_atom_site_type_symbol
_atom_site_fract_x
_atom_site_fract_y
_atom_site_fract_z
Cs1 Cs 0.000 0.000 0.000
Cs2 Cs 0.347 0.725 0.389
Be1 Be 0.292 0.598 0.749
Be2 Be 0.690 0.392 0.797
Nb1 Nb 0.673 0.365 0.614
Nb2 Nb 0.995 0.006 0.711
```

***

## three
A geometry-optimized CsBeNb structure. Source: the Alexandria database, functional PBE-GGA.

Values from the calculation:
Crystal system: hexagonal
Size of the total moment: 1.32 μB per formula unit

CIF file:
```
data_CsBeNb
_cell_length_a 4.0753
_cell_length_b 4.0753
_cell_length_c 6.4871
_cell_angle_alpha 90.00
_cell_angle_beta 90.00
_cell_angle_gamma 120.00
_symmetry_space_group_name_H-M 'P -6 m 2'
_symmetry_Int_Tables_number 187
_symmetry_space_group_name_Hall 'P -6 2'
loop_
_atom_site_label
_atom_site_type_symbol
_atom_site_fract_x
_atom_site_fract_y
_atom_site_fract_z
Cs1 Cs 0.0000 0.0000 0.0000
Be1 Be 0.3333 0.6667 0.5000
Nb1 Nb 0.6667 0.3333 0.5000
```

***

## four
A geometry-optimized CsBeNb structure. Source: the Alexandria database, functional PBE-GGA.

Values from the calculation:
Crystal system: cubic
Size of the total moment: 0.00 μB per formula unit

CIF file:
```
data_CsBeNb
_cell_length_a 6.785
_cell_length_b 6.785
_cell_length_c 6.785
_cell_angle_alpha 90.00
_cell_angle_beta 90.00
_cell_angle_gamma 90.00
_symmetry_space_group_name_H-M 'F -4 3 m'
_symmetry_Int_Tables_number 216
_symmetry_space_group_name_Hall 'F -4 2 3'
loop_
_atom_site_label
_atom_site_type_symbol
_atom_site_fract_x
_atom_site_fract_y
_atom_site_fract_z
Cs1 Cs 0.000 0.000 0.000
Be1 Be 0.250 0.250 0.250
Nb1 Nb 0.000 0.000 0.500
```

***

Best to worst by energy: two, one, three, four.

***

## one
A geometry-optimized CsBeNb structure. Source: the Alexandria database, functional PBE-GGA.

Values from the calculation:
Crystal system: hexagonal
Size of the total moment: 0.00 μB per formula unit

CIF file:
```
data_CsBeNb
_cell_length_a 5.1257
_cell_length_b 5.1257
_cell_length_c 5.8740
_cell_angle_alpha 90.00
_cell_angle_beta 90.00
_cell_angle_gamma 120.00
_symmetry_space_group_name_H-M 'P 63 m c'
_symmetry_Int_Tables_number 186
_symmetry_space_group_name_Hall 'P 6c -2c'
loop_
_atom_site_label
_atom_site_type_symbol
_atom_site_fract_x
_atom_site_fract_y
_atom_site_fract_z
Cs1 Cs 0.0000 0.0000 0.0000
Be1 Be 0.3333 0.6667 0.0977
Nb1 Nb 0.3333 0.6667 0.5641
```

***

## two
A geometry-optimized CsBeNb structure. Source: the Alexandria database, functional PBE-GGA.

Values from the calculation:
Crystal system: hexagonal
Size of the total moment: 0.00 μB per formula unit

CIF file:
```
data_CsBeNb
_cell_length_a 5.0463
_cell_length_b 5.0463
_cell_length_c 8.2045
_cell_angle_alpha 90.00
_cell_angle_beta 90.00
_cell_angle_gamma 120.00
_symmetry_space_group_name_H-M 'P -6 m 2'
_symmetry_Int_Tables_number 187
_symmetry_space_group_name_Hall 'P -6 2'
loop_
_atom_site_label
_atom_site_type_symbol
_atom_site_fract_x
_atom_site_fract_y
_atom_site_fract_z
Cs1 Cs 0.0000 0.0000 0.0000
Cs2 Cs 0.0000 0.0000 0.5000
Be1 Be 0.6667 0.3333 0.1468
Nb1 Nb 0.3333 0.6667 0.1402
```

***

Best to worst by energy: two, one.

***

## one
A geometry-optimized CsBeNb structure. Source: the Alexandria database, functional PBE-GGA.

Values from the calculation:
Crystal system: hexagonal
Size of the total moment: 1.29 μB per formula unit

CIF file:
```
data_CsBeNb
_cell_length_a 4.0723
_cell_length_b 4.0723
_cell_length_c 13.0710
_cell_angle_alpha 90.00
_cell_angle_beta 90.00
_cell_angle_gamma 120.00
_symmetry_space_group_name_H-M 'P 63/m m c'
_symmetry_Int_Tables_number 194
_symmetry_space_group_name_Hall '-P 6c 2c'
loop_
_atom_site_label
_atom_site_type_symbol
_atom_site_fract_x
_atom_site_fract_y
_atom_site_fract_z
Cs1 Cs 0.0000 0.0000 0.0000
Be1 Be 0.3333 0.6667 0.2500
Nb1 Nb 0.3333 0.6667 0.7500
```

***

## two
A geometry-optimized CsBeNb structure. Source: the Alexandria database, functional PBE-GGA.

Values from the calculation:
Crystal system: tetragonal
Size of the total moment: 0.91 μB per formula unit

CIF file:
```
data_CsBeNb
_cell_length_a 4.518
_cell_length_b 4.518
_cell_length_c 10.388
_cell_angle_alpha 90.00
_cell_angle_beta 90.00
_cell_angle_gamma 90.00
_symmetry_space_group_name_H-M 'P 4/n m m'
_symmetry_Int_Tables_number 129
loop_
_symmetry_equiv_pos_as_xyz
'x,y,z'
'-x,-y,-z'
'-y+1/2,x,z'
'y+1/2,-x,-z'
'-x+1/2,-y+1/2,z'
'x+1/2,y+1/2,-z'
'y,-x+1/2,z'
'-y,x+1/2,-z'
'x+1/2,-y,-z'
'-x+1/2,y,z'
'-y,-x,-z'
'y,x,z'
'-x,y+1/2,-z'
'x,-y+1/2,z'
'y+1/2,x+1/2,-z'
'-y+1/2,-x+1/2,z'
loop_
_atom_site_label
_atom_site_type_symbol
_atom_site_fract_x
_atom_site_fract_y
_atom_site_fract_z
Cs1 Cs 0.250 0.250 0.201
Be1 Be 0.250 0.750 0.500
Nb1 Nb 0.250 0.250 0.566
```

***

## three
A geometry-optimized CsBeNb structure. Source: the Alexandria database, functional PBE-GGA.

Values from the calculation:
Crystal system: cubic
Size of the total moment: 1.06 μB per formula unit

CIF file:
```
data_CsBeNb
_cell_length_a 6.700
_cell_length_b 6.700
_cell_length_c 6.700
_cell_angle_alpha 90.00
_cell_angle_beta 90.00
_cell_angle_gamma 90.00
_symmetry_space_group_name_H-M 'F -4 3 m'
_symmetry_Int_Tables_number 216
_symmetry_space_group_name_Hall 'F -4 2 3'
loop_
_atom_site_label
_atom_site_type_symbol
_atom_site_fract_x
_atom_site_fract_y
_atom_site_fract_z
Cs1 Cs 0.000 0.000 0.000
Be1 Be 0.000 0.000 0.500
Nb1 Nb 0.250 0.250 0.750
```

***

## four
A geometry-optimized CsBeNb structure. Source: the Alexandria database, functional PBE-GGA.

Values from the calculation:
Crystal system: monoclinic
Size of the total moment: 0.00 μB per formula unit

CIF file:
```
data_CsBeNb
_cell_length_a 3.886
_cell_length_b 3.495
_cell_length_c 12.989
_cell_angle_alpha 90.00
_cell_angle_beta 90.92
_cell_angle_gamma 90.00
_symmetry_space_group_name_H-M 'P 1 21 1'
_symmetry_Int_Tables_number 4
_symmetry_space_group_name_Hall 'P 2yb'
loop_
_atom_site_label
_atom_site_type_symbol
_atom_site_fract_x
_atom_site_fract_y
_atom_site_fract_z
Cs1 Cs 0.012 0.000 0.312
Be1 Be 0.003 0.492 0.051
Nb1 Nb 0.496 0.493 0.923
```

***

Best to worst by energy: four, two, one, three.

***

## one
A geometry-optimized CsBeNb3 structure. Source: the Alexandria database, functional PBE-GGA.

Values from the calculation:
Crystal system: cubic
Size of the total moment: 0.00 μB per formula unit

CIF file:
```
data_CsBeNb3
_cell_length_a 4.994
_cell_length_b 4.994
_cell_length_c 4.994
_cell_angle_alpha 90.00
_cell_angle_beta 90.00
_cell_angle_gamma 90.00
_symmetry_space_group_name_H-M 'P m -3 m'
_symmetry_Int_Tables_number 221
_symmetry_space_group_name_Hall '-P 4 2 3'
loop_
_atom_site_label
_atom_site_type_symbol
_atom_site_fract_x
_atom_site_fract_y
_atom_site_fract_z
Cs1 Cs 0.000 0.000 0.000
Be1 Be 0.500 0.500 0.500
Nb1 Nb 0.000 0.000 0.500
```

***

## two
A geometry-optimized CsBeNb3 structure. Source: the Alexandria database, functional PBE-GGA.

Values from the calculation:
Crystal system: cubic
Size of the total moment: 0.00 μB per formula unit

CIF file:
```
data_CsBeNb3
_cell_length_a 4.693
_cell_length_b 4.693
_cell_length_c 4.693
_cell_angle_alpha 90.00
_cell_angle_beta 90.00
_cell_angle_gamma 90.00
_symmetry_space_group_name_H-M 'P m -3 m'
_symmetry_Int_Tables_number 221
_symmetry_space_group_name_Hall '-P 4 2 3'
loop_
_atom_site_label
_atom_site_type_symbol
_atom_site_fract_x
_atom_site_fract_y
_atom_site_fract_z
Cs1 Cs 0.000 0.000 0.000
Be1 Be 0.500 0.500 0.500
Nb1 Nb 0.000 0.500 0.500
```

***

Best to worst by energy: two, one.